Record 1
DFT (PBE) results for YBiTe2 after structural relaxation.

Formation energy (no corrections) in kJ/mol of formula units: -148
Total magnetization in μB/cell: 0.000
Space group: I-42d

Cell and atoms, written as extended XYZ:
```
8
Lattice="-2.648 3.406 3.843 -4.608 -3.484 -0.087 0.018 -5.034 8.816" Properties=species:S:1:pos:R:3 pbc="T T T"
Y -3.628 -0.039 1.878
Y -4.109 -4.279 5.304
Te -2.175 0.368 4.520
Te -3.258 -2.944 2.705
Te -2.798 -3.873 8.019
Te -6.245 -3.776 9.900
Bi 0.000 0.000 0.000
Bi -3.129 -0.834 7.269
```

***

Record 2
DFT (PBE) results for KPr2CuO4 after structural relaxation.

Formation energy (no corrections) in kJ/mol of formula units: -1801
Total magnetization in μB/cell: 0.000
Space group: Cmcm

Cell and atoms, written as extended XYZ:
```
16
Lattice="-3.596 0.269 0.921 1.892 -6.092 1.646 3.070 3.883 10.847" Properties=species:S:1:pos:R:3 pbc="T T T"
K 2.316 2.069 8.434
K -0.950 -4.008 4.981
Pr 1.803 -2.222 7.687
Pr -1.575 -1.156 1.708
Pr -0.437 0.283 5.728
Pr 2.941 -0.783 11.706
Cu 0.555 -0.150 9.726
Cu 0.811 -1.789 3.688
O 0.341 -2.567 2.080
O 0.079 -0.568 7.992
O 1.025 0.628 11.334
O 1.287 -1.371 5.422
O 1.535 1.942 5.424
O 0.000 0.000 0.000
O 2.382 -2.130 9.918
O -1.016 0.191 3.496
```

***

Record 3
DFT (PBE) results for CuHgCl2 after structural relaxation.

Formation energy (no corrections) in kJ/mol of formula units: -84
Total magnetization in μB/cell: 0.002
Space group: P4mm
Energy above the most stable polymorph in this dataset in meV/atom: 153

Cell and atoms, written as extended XYZ:
```
4
Lattice="-0.180 1.342 3.106 -3.009 -1.486 0.468 3.830 -6.763 3.146" Properties=species:S:1:pos:R:3 pbc="T T T"
Hg 2.074 -6.550 4.800
Cu 1.745 -3.082 1.434
Cl 2.761 -4.875 2.268
Cl -0.194 -2.545 2.937
```

***

Record 4
DFT (PBE) results for GaPd2N4 after structural relaxation.

Formation energy (no corrections) in kJ/mol of formula units: 994
Total magnetization in μB/cell: 1.789
Space group: I4/mmm

Cell and atoms, written as extended XYZ:
```
7
Lattice="-1.464 -3.404 1.444 -0.369 -1.410 -3.700 3.995 -4.404 -0.857" Properties=species:S:1:pos:R:3 pbc="T T T"
Ga 0.000 0.000 0.000
Pd 1.844 -6.309 -2.053
Pd 0.318 -2.909 -1.060
N 0.123 -5.609 -2.148
N 2.040 -3.609 -0.965
N -0.185 -0.705 -1.850
N -0.732 -1.702 0.722
```

***

Record 5
DFT (PBE) results for Nd8Si3AsCl4 after structural relaxation.

Formation energy (no corrections) in kJ/mol of formula units: -1972
Total magnetization in μB/cell: 0.000
Space group: R-3m

Cell and atoms, written as extended XYZ:
```
16
Lattice="-6.946 1.921 -4.478 0.147 -7.741 -3.549 -0.049 0.778 8.449" Properties=species:S:1:pos:R:3 pbc="T T T"
Nd -1.637 -4.368 4.618
Nd -1.613 -4.751 0.464
Nd -1.781 -1.236 2.232
Nd -5.052 -3.423 2.416
Nd -1.796 -1.618 -1.994
Nd -5.068 -3.805 -1.809
Nd -5.236 -0.290 -0.041
Nd -5.212 -0.674 -4.196
Si -3.400 -2.910 -4.013
Si -3.424 -2.521 0.211
Si 0.049 -3.481 2.450
As 0.073 -3.870 -1.774
Cl -3.473 0.961 -2.239
Cl -3.498 1.349 1.986
Cl 0.000 0.000 0.000
Cl -0.025 0.389 4.224
```

***

Record 6
DFT (PBE) results for DyInSb2 after structural relaxation.

Formation energy (no corrections) in kJ/mol of formula units: -134
Total magnetization in μB/cell: 0.000
Space group: R3m
Energy above the most stable polymorph in this dataset in meV/atom: 91

Cell and atoms, written as extended XYZ:
```
4
Lattice="4.515 0.000 0.000 2.257 3.910 0.000 2.257 1.303 6.982" Properties=species:S:1:pos:R:3 pbc="T T T"
Dy 4.515 2.607 0.022
In 4.515 2.607 3.543
Sb 2.257 1.303 5.270
Sb 2.257 1.303 1.638
```

***

Record 7
DFT (PBE) results for Cu2RuBr after structural relaxation.

Formation energy (no corrections) in kJ/mol of formula units: 266
Total magnetization in μB/cell: 0.000
Space group: Cmm2
Energy above the most stable polymorph in this dataset in meV/atom: 236

Cell and atoms, written as extended XYZ:
```
4
Lattice="2.927 -0.011 0.000 -1.518 2.502 0.000 0.000 0.000 8.687" Properties=species:S:1:pos:R:3 pbc="T T T"
Br 0.704 1.246 6.397
Cu 0.000 0.000 0.187
Cu 0.704 1.246 2.166
Ru 0.000 0.000 4.280
```

***

Record 8
DFT (PBE) results for TiV2Cu2 after structural relaxation.

Total magnetization in μB/cell: 0.001
Space group: P4/mbm
ΔE_f in eV/f.u.: 1.2
Energy above the most stable polymorph in this dataset in meV/atom: 15

Cell and atoms, written as extended XYZ:
```
10
Lattice="7.442 0.000 0.000 0.000 7.442 0.000 0.000 0.000 2.495" Properties=species:S:1:pos:R:3 pbc="T T T"
V 1.317 5.038 1.248
V 5.038 6.126 1.248
V 6.126 2.405 1.248
V 2.405 1.317 1.248
Cu 2.833 6.554 0.000
Cu 6.554 4.609 0.000
Cu 4.609 0.888 0.000
Cu 0.888 2.833 0.000
Ti 0.000 0.000 0.000
Ti 3.721 3.721 0.000
```

***

Record 9
DFT (PBE) results for LiPrNpS3 after structural relaxation.

Formation energy (no corrections) in kJ/mol of formula units: -896
Total magnetization in μB/cell: 8.882
Space group: P2_1/m

Cell and atoms, written as extended XYZ:
```
12
Lattice="3.905 0.000 0.000 0.000 8.161 0.160 0.000 -1.990 8.296" Properties=species:S:1:pos:R:3 pbc="T T T"
Li 0.976 -0.445 4.844
Li 2.929 6.616 3.612
Pr 0.976 1.052 1.851
Pr 2.929 5.120 6.605
Np 0.976 5.089 1.473
Np 2.929 1.082 6.982
S 2.929 7.078 1.275
S 0.976 -0.907 7.181
S 0.976 5.419 4.296
S 2.929 0.752 4.159
S 2.929 3.157 1.464
S 0.976 3.015 6.992
```

***

Record 10
DFT (PBE) results for YHo2P after structural relaxation.

Total magnetization in μB/cell: 1.025
Space group: R-3m
ΔE_f in eV/f.u.: -2.0

Cell and atoms, written as extended XYZ:
```
4
Lattice="-2.849 -1.441 1.911 -1.322 -3.364 -0.884 5.091 -5.846 6.804" Properties=species:S:1:pos:R:3 pbc="T T T"
Y 0.000 0.000 0.000
P 0.460 -5.326 3.916
Ho 2.890 -4.405 4.610
Ho -1.969 -6.247 3.222
```

***

Record 11
DFT (PBE) results for PuZn2Bi after structural relaxation.

Total magnetization in μB/cell: 5.656
Space group: Fm-3m
ΔE_f in eV/f.u.: -0.1
Energy above the most stable polymorph in this dataset in meV/atom: 117

Cell and atoms, written as extended XYZ:
```
4
Lattice="5.074 0.000 0.000 2.537 4.394 0.000 2.537 1.465 4.143" Properties=species:S:1:pos:R:3 pbc="T T T"
Zn 7.611 4.394 3.108
Zn 2.537 1.465 1.034
Bi 5.074 2.930 2.071
Pu 0.000 0.000 0.000
```

***

Record 12
DFT (PBE) results for Tl2InW after structural relaxation.

Total magnetization in μB/cell: 0.000
Space group: R-3m
ΔE_f in eV/f.u.: 2.9
Energy above the most stable polymorph in this dataset in meV/atom: 103

Cell and atoms, written as extended XYZ:
```
4
Lattice="-9.559 -4.973 3.570 -9.645 -5.954 0.616 -8.021 -7.550 2.740" Properties=species:S:1:pos:R:3 pbc="T T T"
In -20.418 -13.858 5.194
Tl -26.991 -18.319 6.866
Tl -13.845 -9.397 3.522
W -6.806 -4.619 1.731
```